(1)
Here is an optimized crystal structure of CdHPd3 from the Alexandria database. Energies are from PBE. Values from VASP.

Computed properties:
- Magnetization: 0.000 Bohr magnetons per cell
- Energy above the lowest structure with this stoichiometry: 0.158 eV/atom
- Symmetry: Fd-3m
- N(E_F): 3.12 states/eV per cell

```
&SYSTEM
  ibrav = 0, nat = 20, ntyp = 3
/
ATOMIC_SPECIES
Cd 112.41 Cd.upf
H 1.01 H.upf
Pd 106.42 Pd.upf
CELL_PARAMETERS angstrom
0.000 5.348 5.348
5.348 0.000 5.348
5.348 5.348 0.000
ATOMIC_POSITIONS crystal
Cd 0.000 0.000 0.000
Cd 0.000 0.000 0.500
Cd 0.000 0.500 0.000
Cd 0.500 0.000 0.000
H 0.000 0.500 0.500
H 0.500 0.000 0.500
H 0.500 0.500 0.000
H 0.500 0.500 0.500
Pd 0.188 0.188 0.562
Pd 0.188 0.562 0.188
Pd 0.188 0.562 0.562
Pd 0.438 0.438 0.812
Pd 0.438 0.812 0.438
Pd 0.438 0.812 0.812
Pd 0.562 0.188 0.188
Pd 0.562 0.188 0.562
Pd 0.562 0.562 0.188
Pd 0.812 0.438 0.438
Pd 0.812 0.438 0.812
Pd 0.812 0.812 0.438
```

(2)
Here is an optimized crystal structure of Nd4AlGa from the Alexandria database. Energies are from PBE. Values from VASP.

Computed properties:
- Magnetization: 0.002 Bohr magnetons per cell
- Energy above the lowest structure with this stoichiometry: 0.000 eV/atom
- Symmetry: P4/mmm
- Formation energy: -0.130 eV per atom
- N(E_F): 8.90 states/eV per cell

```
&SYSTEM
  ibrav = 0, nat = 6, ntyp = 3
/
ATOMIC_SPECIES
Nd 144.24 Nd.upf
Al 26.98 Al.upf
Ga 69.72 Ga.upf
CELL_PARAMETERS angstrom
5.125 0.000 0.000
0.000 5.125 0.000
0.000 0.000 7.375
ATOMIC_POSITIONS crystal
Nd 0.000 0.500 0.247
Nd 0.000 0.500 0.753
Nd 0.500 0.000 0.247
Nd 0.500 0.000 0.753
Al 0.000 0.000 0.500
Ga 0.500 0.500 0.000
```

(3)
Here is an optimized crystal structure of MgCoIr4 from the Alexandria database. Energies are from PBE. Values from VASP.

Computed properties:
- Magnetization: 3.995 Bohr magnetons per cell
- Symmetry: F-43m
- Formation energy: 0.265 eV per atom
- N(E_F): 9.53 states/eV per cell

```
&SYSTEM
  ibrav = 0, nat = 6, ntyp = 3
/
ATOMIC_SPECIES
Mg 24.30 Mg.upf
Co 58.93 Co.upf
Ir 192.22 Ir.upf
CELL_PARAMETERS angstrom
0.000 3.651 3.651
3.651 0.000 3.651
3.651 3.651 0.000
ATOMIC_POSITIONS crystal
Mg 0.000 0.000 0.000
Co 0.250 0.250 0.250
Ir 0.125 0.625 0.625
Ir 0.625 0.125 0.625
Ir 0.625 0.625 0.125
Ir 0.625 0.625 0.625
```